GGA-PBE Rb5Cd2Hg12, optimized geometry; E_tot = -0.710 eV per atom; energy relative to the elements = -0.169 eV per atom
1.0
0.8636 0.1717 8.4325
6.7641 -3.6997 -0.6174
8.4740 7.1544 1.5208
Rb Cd Hg
5 2 12
Direct
0.5783 0.7639 0.4721
0.0571 0.6960 0.6080
0.5000 0.0000 0.0000
0.9429 0.3040 0.3920
0.4217 0.2361 0.5279
0.0000 0.7712 0.0000
0.0000 0.2288 0.0000
0.0054 0.1244 0.7512
0.7041 0.3750 0.7082
0.7041 0.9168 0.7082
0.3225 0.3989 0.7949
0.3225 0.8062 0.7949
0.7283 0.5342 0.9315
0.2717 0.4658 0.0685
0.6775 0.6011 0.2051
0.6775 0.1938 0.2051
0.2959 0.6250 0.2918
0.2959 0.0832 0.2918
0.9946 0.8756 0.2488